Record 1
A plane-wave DFT calculation with GGA-PBE was carried out for a relaxed structure of RbDyRe2O8.

Results
Total magnetization ... 0.17 μB/atom
Formation energy from raw total energies ... -2.012 eV per atom

abc: 6.0395 6.0395 7.9511
angles: 90.00 90.00 120.00
Closest atoms and distances in Å follow each position.
Space group P-3 (No. 147)
Unique sites:
1 Rb 0.0000 0.0000 0.0000 x1  12 O 3.16-3.49
2 Dy 0.0000 0.0000 0.5000 x1  6 O 2.25
3 Re 0.3333 0.6667 0.7502 x2  4 O 1.76-1.81
4 O 0.1696 0.3413 0.6726 x6  1 Re 1.81
5 O 0.3333 0.6667 0.9722 x2  1 Re 1.76

***

Record 2
A plane-wave DFT calculation with GGA-PBE was carried out for a relaxed structure of Pr2CoSi3.

Results
Total magnetization ... 0.00 μB/atom
Energy above the lowest structure with this stoichiometry ... 0.79 eV/f.u.
Formation energy from raw total energies ... -0.584 eV per atom

abc: 4.0494 4.0494 8.5875
angles: 90.00 90.00 120.00
Closest atoms and distances in Å follow each position.
Space group P-6m2 (No. 187)
Unique sites:
1 Pr 0.0000 0.0000 0.2437 x2  9 Si 3.14-3.21, 3 Co 3.14
2 Co 0.3333 0.6667 0.0000 x1  3 Si 2.34
3 Si 0.3333 0.6667 0.5000 x1  3 Si 2.34
4 Si 0.6667 0.3333 0.0000 x1  3 Co 2.34
5 Si 0.6667 0.3333 0.5000 x1  3 Si 2.34

***

Record 3
A plane-wave DFT calculation with GGA-PBE was carried out for a relaxed structure of NaNb4CdN8.

Results
Total magnetization ... 0.07 μB/atom
Formation energy from raw total energies ... -0.384 eV per atom

abc: 6.3526 6.3526 15.9865
angles: 90.00 90.00 120.00
Closest atoms and distances in Å follow each position.
Space group R3m (No. 160, hexagonal axes)
Unique sites:
1 Na 0.0000 0.0000 0.0000 x3  6 N 2.35-2.37
2 Nb 0.0000 0.0000 0.3748 x3  3 N 1.95
3 Nb 0.0118 0.5059 0.5004 x9  4 N 1.99-2.21
4 Cd 0.0000 0.0000 0.6236 x3  4 N 2.17-2.22
5 N 0.0000 0.0000 0.2373 x3  4 Nb 2.20-2.21
6 N 0.0000 0.0000 0.7596 x3  3 Nb 2.13, 1 Cd 2.17
7 N 0.1700 0.3400 0.0889 x9  1 Nb 1.95
8 N 0.1808 0.3617 0.5622 x9  2 Nb 1.99, 1 Cd 2.22

***

Record 4
A plane-wave DFT calculation with GGA-PBE was carried out for a relaxed structure of MgFeMoRu.

Results
Total magnetization ... 0.00 μB/atom
Formation enthalpy at 0 K ... 0.0559 eV per atom

abc: 6.0739 6.0739 6.0739
angles: 90.00 90.00 90.00
Closest atoms and distances in Å follow each position.
Space group F-43m (No. 216)
Unique sites:
1 Mg 0.0000 0.0000 0.0000 x4  4 Fe 2.63, 4 Ru 2.63
2 Fe 0.2500 0.2500 0.7500 x4  4 Mo 2.63, 4 Mg 2.63
3 Mo 0.0000 0.0000 0.5000 x4  4 Ru 2.63, 4 Fe 2.63
4 Ru 0.2500 0.2500 0.2500 x4  4 Mg 2.63, 4 Mo 2.63

***

Record 5
A plane-wave DFT calculation with GGA-PBE was carried out for a relaxed structure of K2CeBiO6.

Results
Total magnetization ... 0.10 μB/atom
Formation energy from raw total energies ... -1.785 eV per atom

abc: 8.7266 8.7266 8.7266
angles: 90.00 90.00 90.00
Closest atoms and distances in Å follow each position.
Space group Fm-3m (No. 225)
Unique sites:
1 K 0.2500 0.2500 0.2500 x8  12 O 3.09
2 Ce 0.0000 0.0000 0.0000 x4  6 O 2.23
3 Bi 0.0000 0.0000 0.5000 x4  6 O 2.14
4 O 0.0000 0.0000 0.2550 x24  1 Bi 2.14, 1 Ce 2.23

***

Record 6
A plane-wave DFT calculation with GGA-PBE was carried out for a relaxed structure of NiPW.

Results
Total magnetization ... 0.00 μB/atom
Formation enthalpy at 0 K ... 0.2472 eV per atom

abc: 5.7123 5.7123 5.7123
angles: 90.00 90.00 90.00
Closest atoms and distances in Å follow each position.
Space group F-43m (No. 216)
Unique sites:
1 Ni 0.0000 0.0000 0.0000 x4  4 W 2.47
2 P 0.0000 0.0000 0.5000 x4  4 W 2.47
3 W 0.2500 0.2500 0.7500 x4  4 Ni 2.47, 4 P 2.47

***

Record 7
A plane-wave DFT calculation with GGA-PBE was carried out for a relaxed structure of YTl3Cl.

Results
Total magnetization ... 0.00 μB/atom
Energy above the lowest structure with this stoichiometry ... 0.00 eV/f.u.
Formation energy from raw total energies ... 0.074 eV per atom

abc: 5.6061 5.6061 5.6061
angles: 90.00 90.00 90.00
Closest atoms and distances in Å follow each position.
Space group Pm-3m (No. 221)
Unique sites:
1 Y 0.0000 0.0000 0.0000 x1  12 Tl 3.96
2 Tl 0.0000 0.5000 0.5000 x3  2 Cl 2.80
3 Cl 0.5000 0.5000 0.5000 x1  6 Tl 2.80

***

What is the total magnetization in the seventh record? 0.00 μB/atom

***

Please write out number 6 again, unchanged.
A plane-wave DFT calculation with GGA-PBE was carried out for a relaxed structure of NiPW.

Results
Total magnetization ... 0.00 μB/atom
Formation enthalpy at 0 K ... 0.2472 eV per atom

abc: 5.7123 5.7123 5.7123
angles: 90.00 90.00 90.00
Closest atoms and distances in Å follow each position.
Space group F-43m (No. 216)
Unique sites:
1 Ni 0.0000 0.0000 0.0000 x4  4 W 2.47
2 P 0.0000 0.0000 0.5000 x4  4 W 2.47
3 W 0.2500 0.2500 0.7500 x4  4 Ni 2.47, 4 P 2.47